26
Lattice="-4.4555 7.5995 2.7654 0.6061 2.4259 8.8881 5.0042 7.4526 2.1604" Properties=species:S:1:pos:R:3 comment="PBE+U KFe3H6S2O14, optimized geometry" mass_density_g_cm3=1.437 total_magnetization_mub_per_cell=14.6 polymorph_energy_ev_per_atom=1.242 pbc="T T T"
O 0.7842 14.5009 8.7414
O 0.5017 7.5932 6.0013
O 3.2815 5.2910 1.7580
O 0.7314 15.4536 7.6840
O 0.6531 9.8849 7.8126
O 0.4235 2.0245 6.1299
O -0.9317 12.5398 11.3661
O 2.0865 4.9382 2.4478
O -2.8657 5.3865 2.1511
O 2.7589 12.4825 11.1301
O -1.6041 4.9955 2.6838
O 4.0206 12.0916 11.6628
O -2.1267 12.1870 12.0559
O 0.3706 2.9771 5.0726
H 0.2682 7.1496 2.4581
H 2.5865 4.7801 5.2624
H -1.4316 12.6980 8.5516
H -1.7462 4.8474 5.5395
H 2.9010 12.6307 8.2745
H 0.8866 10.3284 11.3558
Fe -2.2277 3.7997 1.3827
Fe 0.3031 1.2130 4.4441
Fe 2.5021 3.7263 1.0802
S 0.4246 6.4258 5.0787
S 0.7303 11.0522 8.7352
K 0.0000 0.0000 0.0000

---

26
Lattice="7.8722 -4.4772 0.0250 7.8722 4.4772 0.0250 5.3026 0.0000 7.3417" Properties=species:S:1:pos:R:3 comment="PBE+U KFe3H6S2O14, optimized geometry" mass_density_g_cm3=1.611 total_magnetization_mub_per_cell=9.0 polymorph_energy_ev_per_atom=0.872 pbc="T T T"
O 4.5444 0.0000 3.0977
O 1.9809 0.0000 1.9453
O 16.5026 0.0000 4.2940
O 18.4801 -1.0211 7.1150
O 18.4801 1.0211 7.1150
O 6.8610 0.0000 2.4096
O 5.2486 1.2270 1.0925
O 19.0661 0.0000 5.4463
O 14.1860 0.0000 4.9821
O 2.5670 1.0211 0.2767
O 2.5670 -1.0211 0.2767
O 15.7984 -1.2270 6.2992
O 5.2486 -1.2270 1.0925
O 15.7984 1.2270 6.2992
H 6.7580 -1.9302 3.5546
H 6.7580 1.9302 3.5546
H 14.2890 -1.9302 3.8371
H 14.2890 1.9302 3.8371
H 13.1812 0.0000 6.9915
H 7.8659 0.0000 0.4002
Fe 3.9361 -2.2386 0.0125
Fe 3.9361 2.2386 0.0125
Fe 2.6513 0.0000 3.6708
S 15.5420 0.0000 5.4583
S 5.5050 0.0000 1.9333
K 0.0000 0.0000 0.0000

---

30
Lattice="-3.1684 3.4846 2.1482 -2.0611 -5.3892 5.7018 7.4713 4.4848 3.7449" Properties=species:S:1:pos:R:3 comment="PBE+U KFeH2S2O9, optimized geometry" mass_density_g_cm3=2.618 total_magnetization_mub_per_cell=9.9 final_energy_ev_per_cell=-176.64 pbc="T T T"
O 2.5667 1.2713 4.8419
O 0.6598 -1.1776 3.0743
O -3.4889 -0.4091 4.8729
O -1.2780 -1.3687 6.3741
O 1.0969 3.7109 4.9537
O 1.5820 3.7577 8.5206
O 0.2057 -3.0004 5.3682
O 2.0361 5.5805 6.2267
O 2.8965 2.2849 9.9209
O 3.0692 2.1220 7.5123
O -0.3249 1.3088 6.7530
O 5.7307 2.9892 6.7220
O 3.5198 3.9488 5.2208
O 1.1449 -1.1308 6.6412
O 0.2899 0.1487 9.5415
O -0.6547 0.2951 1.6740
O 1.9519 2.4314 2.0534
O -0.8274 0.4580 4.0826
Fe 4.1824 2.1495 5.8004
Fe -1.9406 0.4306 5.7945
K -0.9122 3.1718 2.8649
K 3.1540 -0.5917 8.7300
H -0.6304 1.6989 7.6104
H 2.8722 0.8812 3.9845
H 1.8862 1.9655 4.6530
H 0.3556 0.6145 6.9419
S 0.0329 -2.1060 6.5831
S 2.9030 3.0534 8.6840
S -0.6612 -0.4733 2.9109
S 2.2089 4.6861 5.0118

---

Calculated volume for every record listed, in sequence, given in Å³ per cell: 578.8 516.3 386.9.